No. 1
First-principles (PBE) data for a geometry-optimized Sm8PPb2 structure, as listed in Alexandria.

Calculated values
Total moment = 0.202 μB per cell
Density of states at the Fermi level = 13.682 states/eV per cell
Total DFT energy (no corrections) = -5.030 eV per atom

abc: 4.326 8.742 9.470
angles: 94.48 103.20 90.00
Fractional coordinates of all 11 atoms:
Sm1 0.993 0.784 0.986
Sm2 0.792 0.636 0.584
Sm3 0.406 0.458 0.812
Sm4 0.208 0.364 0.416
Sm5 0.653 0.029 0.306
Sm6 0.594 0.542 0.188
Sm7 0.007 0.216 0.014
Sm8 0.347 0.971 0.694
Pb1 0.179 0.768 0.358
Pb2 0.821 0.232 0.642
P1 0.500 0.000 0.000

***

No. 2
First-principles (PBE) data for a geometry-optimized LaPr3Y12 structure, as listed in Alexandria.

Calculated values
Total moment = 0.000 μB per cell
Density of states at the Fermi level = 25.937 states/eV per cell
Total DFT energy (no corrections) = -6.028 eV per atom

abc: 5.106 5.106 20.433
angles: 90.00 90.00 90.00
Fractional coordinates of all 16 atoms:
La1 0.000 0.000 0.000
Y1 0.500 0.000 0.625
Y2 0.500 0.500 0.000
Y3 0.500 0.500 0.749
Y4 0.000 0.500 0.126
Y5 0.500 0.000 0.126
Y6 0.500 0.500 0.500
Y7 0.000 0.500 0.375
Y8 0.000 0.500 0.874
Y9 0.500 0.500 0.251
Y10 0.500 0.000 0.375
Y11 0.500 0.000 0.874
Y12 0.000 0.500 0.625
Pr1 0.000 0.000 0.750
Pr2 0.000 0.000 0.500
Pr3 0.000 0.000 0.250

***

No. 3
First-principles (PBE) data for a geometry-optimized Zr2Br structure, as listed in Alexandria.

Calculated values
Total moment = 0.000 μB per cell
ΔE_f (raw) = 339 meV/atom
Density of states at the Fermi level = 3.005 states/eV per cell
Polymorph energy (0 for the lowest one) = 678 meV/atom

abc: 4.623 4.623 3.251
angles: 90.00 90.00 90.00
Fractional coordinates of all 3 atoms:
Br1 0.000 0.000 0.000
Zr1 0.000 0.500 0.500
Zr2 0.500 0.000 0.500

***

No. 4
First-principles (PBE) data for a geometry-optimized YCoTc2 structure, as listed in Alexandria.

Calculated values
Total moment = 1.118 μB per cell
Density of states at the Fermi level = 3.902 states/eV per cell
Polymorph energy (0 for the lowest one) = 209 meV/atom

abc: 4.698 3.150 4.613
angles: 80.29 90.00 90.00
Last column: magnetic moment on the atom in μB.
Fractional coordinates of all 4 atoms:
Co1 0.500 0.750 0.750  0.97
Tc1 0.000 0.581 0.522  0.11
Tc2 0.000 0.919 0.978  0.11
Y1 0.500 0.250 0.250  -0.06

***

No. 5
First-principles (PBE) data for a geometry-optimized KBeW2 structure, as listed in Alexandria.

Calculated values
Total moment = 0.000 μB per cell
Density of states at the Fermi level = 2.631 states/eV per cell
Total DFT energy (no corrections) = -6.763 eV per atom

abc: 2.713 2.713 9.773
angles: 90.00 90.00 90.00
Fractional coordinates of all 4 atoms:
Be1 0.000 0.000 0.447
K1 0.500 0.500 0.727
W1 0.500 0.500 0.280
W2 0.000 0.000 0.047

***

No. 6
First-principles (PBE) data for a geometry-optimized Na3Tl2Au structure, as listed in Alexandria.

Calculated values
Total moment = 0.000 μB per cell
Density of states at the Fermi level = 4.660 states/eV per cell
Polymorph energy (0 for the lowest one) = 53 meV/atom

abc: 6.171 5.964 9.979
angles: 107.39 108.01 90.00
Fractional coordinates of all 12 atoms:
Au1 0.000 0.750 0.000
Au2 0.000 0.250 0.000
Tl1 0.703 0.871 0.741
Tl2 0.297 0.129 0.259
Tl3 0.038 0.371 0.741
Tl4 0.962 0.629 0.259
Na1 0.483 0.311 0.623
Na2 0.860 0.189 0.377
Na3 0.140 0.811 0.623
Na4 0.500 0.750 0.000
Na5 0.500 0.250 0.000
Na6 0.517 0.689 0.377

***

No. 7
First-principles (PBE) data for a geometry-optimized Cr2Rh structure, as listed in Alexandria.

Calculated values
Total moment = 0.000 μB per cell
Density of states at the Fermi level = 22.787 states/eV per cell
Total DFT energy (no corrections) = -8.885 eV per atom

abc: 4.727 15.473 4.727
angles: 90.00 120.00 90.00
Fractional coordinates of all 24 atoms:
Cr1 0.836 0.750 0.164
Cr2 0.500 0.500 0.000
Cr3 0.164 0.250 0.328
Cr4 0.667 0.626 0.333
Cr5 0.333 0.126 0.667
Cr6 0.500 0.000 0.000
Cr7 0.000 0.500 0.500
Cr8 0.500 0.500 0.500
Cr9 0.836 0.750 0.672
Cr10 0.164 0.250 0.836
Cr11 0.328 0.750 0.164
Cr12 0.500 0.000 0.500
Cr13 0.667 0.874 0.333
Cr14 0.672 0.250 0.836
Cr15 0.333 0.374 0.667
Cr16 0.000 0.000 0.500
Rh1 0.667 0.156 0.333
Rh2 0.333 0.844 0.667
Rh3 0.000 0.406 0.000
Rh4 0.000 0.094 0.000
Rh5 0.000 0.906 0.000
Rh6 0.667 0.344 0.333
Rh7 0.333 0.656 0.667
Rh8 0.000 0.594 0.000

***

No. 8
First-principles (PBE) data for a geometry-optimized Tm2ThSn structure, as listed in Alexandria.

Calculated values
Total moment = 0.000 μB per cell
Density of states at the Fermi level = 4.425 states/eV per cell
Polymorph energy (0 for the lowest one) = 0 meV/atom

abc: 4.728 4.861 4.861
angles: 90.00 90.00 90.00
Fractional coordinates of all 4 atoms:
Tm1 0.000 0.500 0.000
Tm2 0.000 0.000 0.500
Sn1 0.500 0.000 0.000
Th1 0.500 0.500 0.500

***

No. 9
First-principles (PBE) data for a geometry-optimized K2YHfS4 structure, as listed in Alexandria.

Calculated values
Total moment = 0.000 μB per cell
ΔE_f (raw) = -1653 meV/atom
Density of states at the Fermi level = 2.830 states/eV per cell

abc: 3.869 6.758 7.717
angles: 106.70 90.00 90.00
Fractional coordinates of all 8 atoms:
S1 0.500 0.250 0.203
S2 0.500 0.750 0.797
S3 0.000 0.282 0.803
S4 0.000 0.718 0.197
Y1 0.000 0.000 0.000
Hf1 0.500 0.500 0.000
K1 0.500 0.000 0.500
K2 0.000 0.500 0.500

***

No. 10
First-principles (PBE) data for a geometry-optimized BaLiSi2Ru structure, as listed in Alexandria.

Calculated values
Total moment = 0.000 μB per cell
ΔE_f (raw) = -310 meV/atom
Density of states at the Fermi level = 1.948 states/eV per cell

abc: 4.636 4.636 4.995
angles: 90.00 90.00 90.00
Fractional coordinates of all 5 atoms:
Si1 0.500 0.000 0.000
Si2 0.000 0.500 0.000
Li1 0.000 0.000 0.500
Ru1 0.000 0.000 0.000
Ba1 0.500 0.500 0.500

***

No. 11
First-principles (PBE) data for a geometry-optimized K4AgPt structure, as listed in Alexandria.

Calculated values
Total moment = 0.603 μB per cell
Density of states at the Fermi level = 3.884 states/eV per cell
Polymorph energy (0 for the lowest one) = 509 meV/atom

abc: 6.620 6.620 6.620
angles: 60.00 60.00 60.00
Last column: magnetic moment on the atom in μB.
Fractional coordinates of all 6 atoms:
Pt1 0.750 0.750 0.750  0.06
K1 0.871 0.376 0.376  0.03
K2 0.376 0.376 0.376  0.03
K3 0.376 0.376 0.871  0.03
K4 0.376 0.871 0.376  0.03
Ag1 0.000 0.000 0.000  0.02

***

No. 12
First-principles (PBE) data for a geometry-optimized Ce2SiRu structure, as listed in Alexandria.

Calculated values
Total moment = 0.000 μB per cell
ΔE_f (raw) = -482 meV/atom
Density of states at the Fermi level = 9.427 states/eV per cell
Polymorph energy (0 for the lowest one) = 92 meV/atom

abc: 6.072 6.044 6.044
angles: 64.67 59.84 59.84
Fractional coordinates of all 8 atoms:
Ce1 0.279 0.721 0.221
Ce2 0.721 0.279 0.779
Ce3 0.779 0.721 0.221
Ce4 0.221 0.279 0.779
Si1 0.750 0.810 0.690
Si2 0.250 0.190 0.310
Ru1 0.250 0.784 0.716
Ru2 0.750 0.216 0.284

***

No. 13
First-principles (PBE) data for a geometry-optimized LaDy2Zr structure, as listed in Alexandria.

Calculated values
Total moment = 0.000 μB per cell
Density of states at the Fermi level = 5.396 states/eV per cell
Polymorph energy (0 for the lowest one) = 258 meV/atom

abc: 3.390 3.390 12.292
angles: 82.07 82.07 60.00
Fractional coordinates of all 4 atoms:
Zr1 0.000 0.000 0.000
Dy1 0.085 0.085 0.745
Dy2 0.915 0.915 0.255
La1 0.500 0.500 0.500

***

No. 14
First-principles (PBE) data for a geometry-optimized Rb3NpSc2Te6 structure, as listed in Alexandria.

Calculated values
Total moment = 4.003 μB per cell
ΔE_f (raw) = -1106 meV/atom
Density of states at the Fermi level = 8.576 states/eV per cell

abc: 7.680 7.680 8.882
angles: 98.31 98.31 120.01
Last column: magnetic moment on the atom in μB.
Fractional coordinates of all 12 atoms:
Sc1 0.667 0.333 0.000  0.06
Sc2 0.333 0.667 0.000  0.06
Te1 0.284 0.284 0.808  -0.03
Te2 0.412 0.065 0.193  -0.03
Te3 0.065 0.412 0.193  -0.03
Te4 0.935 0.588 0.807  -0.03
Te5 0.716 0.716 0.192  -0.03
Te6 0.588 0.935 0.807  -0.03
Rb1 0.837 0.163 0.500  0.00
Rb2 0.500 0.500 0.500  0.00
Rb3 0.163 0.837 0.500  0.00
Np1 0.000 0.000 0.000  3.95

***

No. 15
First-principles (PBE) data for a geometry-optimized NaGaAgHg structure, as listed in Alexandria.

Calculated values
Total moment = 0.000 μB per cell
Density of states at the Fermi level = 1.261 states/eV per cell
Total DFT energy (no corrections) = -1.936 eV per atom

abc: 4.906 4.906 4.906
angles: 60.00 60.00 60.00
Fractional coordinates of all 4 atoms:
Ga1 0.250 0.250 0.250
Hg1 0.000 0.000 0.000
Ag1 0.500 0.500 0.500
Na1 0.750 0.750 0.750

***

No. 16
First-principles (PBE) data for a geometry-optimized Sr2BiPd7 structure, as listed in Alexandria.

Calculated values
Total moment = 0.000 μB per cell
Density of states at the Fermi level = 7.185 states/eV per cell
Total DFT energy (no corrections) = -4.700 eV per atom

abc: 4.244 4.244 12.122
angles: 90.00 90.00 90.00
Fractional coordinates of all 10 atoms:
Pd1 0.000 0.500 0.852
Pd2 0.500 0.000 0.361
Pd3 0.000 0.000 0.000
Pd4 0.000 0.000 0.500
Pd5 0.500 0.500 0.500
Pd6 0.000 0.500 0.639
Pd7 0.500 0.000 0.148
Sr1 0.000 0.500 0.279
Sr2 0.500 0.000 0.721
Bi1 0.500 0.500 0.000

***

No. 17
First-principles (PBE) data for a geometry-optimized Rb2UTa3O12 structure, as listed in Alexandria.

Calculated values
Total moment = 0.007 μB per cell
ΔE_f (raw) = -2696 meV/atom
Density of states at the Fermi level = 10.506 states/eV per cell

abc: 7.691 7.691 7.691
angles: 58.32 58.32 58.32
Fractional coordinates of all 18 atoms:
Rb1 0.610 0.610 0.610
Rb2 0.390 0.390 0.390
Ta1 0.500 0.000 0.000
Ta2 0.000 0.000 0.500
Ta3 0.000 0.500 0.000
O1 0.309 0.934 0.309
O2 0.935 0.322 0.935
O3 0.678 0.065 0.065
O4 0.691 0.066 0.691
O5 0.691 0.691 0.066
O6 0.065 0.065 0.678
O7 0.309 0.309 0.934
O8 0.934 0.309 0.309
O9 0.322 0.935 0.935
O10 0.935 0.935 0.322
O11 0.065 0.678 0.065
O12 0.066 0.691 0.691
U1 0.000 0.000 0.000

***

No. 18
First-principles (PBE) data for a geometry-optimized AsPtIN2 structure, as listed in Alexandria.

Calculated values
Total moment = 0.741 μB per cell
ΔE_f (raw) = 1398 meV/atom
Density of states at the Fermi level = 4.836 states/eV per cell
Polymorph energy (0 for the lowest one) = 72 meV/atom

abc: 3.750 3.750 8.029
angles: 90.00 90.00 90.00
Last column: magnetic moment on the atom in μB.
Fractional coordinates of all 5 atoms:
Pt1 0.500 0.500 0.500  0.01
As1 0.000 0.000 0.000  -0.02
N1 0.000 0.500 0.000  0.28
N2 0.500 0.000 0.000  0.28
I1 0.000 0.000 0.500  0.00

***

No. 19
First-principles (PBE) data for a geometry-optimized La7Dy2Tm2 structure, as listed in Alexandria.

Calculated values
Total moment = 0.000 μB per cell
Density of states at the Fermi level = 18.296 states/eV per cell
Polymorph energy (0 for the lowest one) = 0 meV/atom

abc: 8.783 6.741 6.741
angles: 91.81 82.33 82.33
Fractional coordinates of all 11 atoms:
Dy1 0.500 0.325 0.675
Dy2 0.500 0.675 0.325
La1 0.801 0.543 0.913
La2 0.417 0.843 0.843
La3 0.199 0.087 0.457
La4 0.583 0.157 0.157
La5 0.801 0.913 0.543
La6 0.000 0.000 0.000
La7 0.199 0.457 0.087
Tm1 0.149 0.606 0.606
Tm2 0.851 0.394 0.394

***

No. 20
First-principles (PBE) data for a geometry-optimized LiLa2NiAu structure, as listed in Alexandria.

Calculated values
Total moment = 0.000 μB per cell
Density of states at the Fermi level = 4.107 states/eV per cell
Total DFT energy (no corrections) = -4.424 eV per atom

abc: 5.347 5.347 4.545
angles: 90.00 90.00 90.00
Fractional coordinates of all 5 atoms:
Ni1 0.000 0.000 0.000
Li1 0.000 0.000 0.500
La1 0.500 0.000 0.000
La2 0.000 0.500 0.000
Au1 0.500 0.500 0.500